[1]
# Ac3ZnCd, optimized geometry, DFT PBE
# Space-group type   Cmcm, No. 63
# DOS(E_F)   12.97 states/eV/cell
# E   -0.11401 Ha/atom
# Energy of formation   -0.199 eV per atom
# Calculated volume   347.7 Å³/cell
# Crystal system   orthorhombic
data_Ac3ZnCd
_cell_length_a 5.707
_cell_length_b 5.696
_cell_length_c 11.070
_cell_angle_alpha 90.00
_cell_angle_beta 75.06
_cell_angle_gamma 90.00
_space_group_name_H-M_alt 'P 1'
_space_group_IT_number 1
_space_group_name_Hall 'P 1'
loop_
_atom_site_label
_atom_site_fract_x
_atom_site_fract_y
_atom_site_fract_z
Ac1 0.074 0.750 0.500
Ac2 0.891 0.750 0.866
Ac3 0.257 0.750 0.135
Ac4 0.574 0.250 0.500
Ac5 0.757 0.250 0.134
Ac6 0.391 0.250 0.865
Zn1 0.169 0.250 0.311
Zn2 0.479 0.750 0.689
Cd1 0.667 0.750 0.314
Cd2 0.981 0.250 0.686



[2]
# Mg2TcHg, optimized geometry, DFT PBE
# Space-group type   Pmmm, No. 47
# DOS(E_F)   2.45 states/eV/cell
# E   -0.12174 Ha/atom
# Energy of formation   0.152 eV per atom
# Calculated volume   72.3 Å³/cell
# Crystal system   orthorhombic
data_Mg2TcHg
_cell_length_a 3.064
_cell_length_b 3.822
_cell_length_c 6.172
_cell_angle_alpha 90.00
_cell_angle_beta 90.00
_cell_angle_gamma 90.00
_space_group_name_H-M_alt 'P 1'
_space_group_IT_number 1
_space_group_name_Hall 'P 1'
loop_
_atom_site_label
_atom_site_fract_x
_atom_site_fract_y
_atom_site_fract_z
Mg1 0.000 0.000 0.478
Mg2 0.000 0.000 0.022
Tc1 0.500 0.500 0.250
Hg1 0.500 0.500 0.750



[3]
# Si2PdRh, optimized geometry, DFT PBE
# Space-group type   I-42d, No. 122
# DOS(E_F)   3.94 states/eV/cell
# E   -0.22022 Ha/atom
# Formation energy without anion corrections   -145 meV per atom
# Calculated volume   156.3 Å³/cell
# Crystal system   tetragonal
data_Si2PdRh
_cell_length_a 5.399
_cell_length_b 5.399
_cell_length_c 6.582
_cell_angle_alpha 65.79
_cell_angle_beta 65.79
_cell_angle_gamma 90.00
_space_group_name_H-M_alt 'P 1'
_space_group_IT_number 1
_space_group_name_Hall 'P 1'
loop_
_atom_site_label
_atom_site_fract_x
_atom_site_fract_y
_atom_site_fract_z
Si1 0.136 0.625 0.250
Si2 0.614 0.125 0.250
Si3 0.875 0.864 0.750
Si4 0.375 0.386 0.750
Rh1 0.250 0.750 0.500
Rh2 0.500 0.500 0.000
Pd1 0.750 0.250 0.500
Pd2 0.000 0.000 0.000



[4]
# NpCo3, optimized geometry, DFT PBE
# Space-group type   I4/mmm, No. 139
# DOS(E_F)   7.33 states/eV/cell
# E   -0.31266 Ha/atom
# Energy of formation   0.057 eV per atom
# Calculated volume   53.5 Å³/cell
# Crystal system   tetragonal
data_NpCo3
_cell_length_a 3.774
_cell_length_b 3.774
_cell_length_c 4.606
_cell_angle_alpha 114.18
_cell_angle_beta 114.18
_cell_angle_gamma 90.00
_space_group_name_H-M_alt 'P 1'
_space_group_IT_number 1
_space_group_name_Hall 'P 1'
loop_
_atom_site_label
_atom_site_fract_x
_atom_site_fract_y
_atom_site_fract_z
Co1 0.250 0.750 0.500
Co2 0.750 0.250 0.500
Co3 0.500 0.500 0.000
Np1 0.000 0.000 0.000



Repeat the first record exactly.
# Ac3ZnCd, optimized geometry, DFT PBE
# Space-group type   Cmcm, No. 63
# DOS(E_F)   12.97 states/eV/cell
# E   -0.11401 Ha/atom
# Energy of formation   -0.199 eV per atom
# Calculated volume   347.7 Å³/cell
# Crystal system   orthorhombic
data_Ac3ZnCd
_cell_length_a 5.707
_cell_length_b 5.696
_cell_length_c 11.070
_cell_angle_alpha 90.00
_cell_angle_beta 75.06
_cell_angle_gamma 90.00
_space_group_name_H-M_alt 'P 1'
_space_group_IT_number 1
_space_group_name_Hall 'P 1'
loop_
_atom_site_label
_atom_site_fract_x
_atom_site_fract_y
_atom_site_fract_z
Ac1 0.074 0.750 0.500
Ac2 0.891 0.750 0.866
Ac3 0.257 0.750 0.135
Ac4 0.574 0.250 0.500
Ac5 0.757 0.250 0.134
Ac6 0.391 0.250 0.865
Zn1 0.169 0.250 0.311
Zn2 0.479 0.750 0.689
Cd1 0.667 0.750 0.314
Cd2 0.981 0.250 0.686